Version A
Density functional theory data (PBE) for a relaxed Er2ScTe crystal.

POSCAR file:
```
Er2ScTe
1.0
6.888 -1.917 0.000
6.888 1.917 0.000
-6.083 0.000 8.487
Er Sc Te
4 2 2
direct
0.123 0.123 0.179 Er
0.123 0.123 0.703 Er
0.877 0.877 0.297 Er
0.877 0.877 0.821 Er
0.360 0.360 0.542 Sc
0.640 0.640 0.458 Sc
0.408 0.408 0.085 Te
0.592 0.592 0.915 Te
```

Results
As for the crystal system: monoclinic.

=====

Version B
Density functional theory data (PBE) for a relaxed Er2ScTe crystal.

POSCAR file:
```
Er2ScTe
1.0
1.895 1.094 9.439
-1.895 1.094 9.439
0.000 -2.188 9.439
Er Sc Te
2 1 1
direct
0.000 0.000 0.000 Er
0.182 0.182 0.182 Er
0.758 0.758 0.758 Sc
0.591 0.591 0.591 Te
```

Results
As for the crystal system: trigonal.

=====

Sorted by energy, starting with the most stable: version A, version B.

=====

Version A
Density functional theory data (PBE) for a relaxed ErScTe2 crystal.

POSCAR file:
```
ErScTe2
1.0
2.123 1.226 6.930
-2.123 1.226 6.930
0.000 -2.451 6.930
Er Sc Te
1 1 2
direct
0.000 0.000 0.000 Er
0.500 0.500 0.500 Sc
0.246 0.246 0.246 Te
0.754 0.754 0.754 Te
```

Results
As for the crystal system: trigonal.

=====

Version B
Density functional theory data (PBE) for a relaxed ErScTe2 crystal.

POSCAR file:
```
ErScTe2
1.0
5.231 0.000 0.000
0.000 5.231 0.000
0.000 0.000 3.706
Er Sc Te
1 1 2
direct
0.000 0.000 0.000 Er
0.500 0.500 0.000 Sc
0.000 0.500 0.500 Te
0.500 0.000 0.500 Te
```

Results
As for the crystal system: tetragonal.

=====

Sorted by energy, starting with the most stable: version A, version B.

=====

Version A
Density functional theory data (PBE) for a relaxed ErScTe2 crystal.

POSCAR file:
```
ErScTe2
1.0
0.000 3.703 3.703
3.703 0.000 3.703
3.703 3.703 0.000
Er Sc Te
1 1 2
direct
0.000 0.000 0.000 Er
0.500 0.500 0.500 Sc
0.250 0.250 0.250 Te
0.750 0.750 0.750 Te
```

Results
As for the crystal system: cubic.

=====

Version B
Density functional theory data (PBE) for a relaxed ErScTe2 crystal.

POSCAR file:
```
ErScTe2
1.0
4.161 0.000 0.000
0.021 7.198 0.000
0.047 1.179 8.734
Er Sc Te
2 2 4
direct
0.000 0.000 0.000 Er
0.497 0.574 0.547 Er
0.502 0.603 0.161 Sc
0.999 0.253 0.362 Sc
0.005 0.395 0.051 Te
0.500 0.956 0.295 Te
0.503 0.810 0.834 Te
0.996 0.298 0.675 Te
```

Results
As for the crystal system: triclinic.

=====

Sorted by energy, starting with the most stable: version A, version B.

=====

Version A
Density functional theory data (PBE) for a relaxed Er2ScTe3 crystal.

POSCAR file:
```
Er2ScTe3
1.0
-2.144 3.017 6.397
2.144 -3.017 6.397
2.144 3.017 -6.397
Er Sc Te
2 1 3
direct
0.172 0.172 0.000 Er
0.828 0.828 0.000 Er
0.500 0.500 0.000 Sc
0.000 0.500 0.500 Te
0.341 0.841 0.500 Te
0.659 0.159 0.500 Te
```

Results
As for the crystal system: orthorhombic.

=====

Version B
Density functional theory data (PBE) for a relaxed Er2ScTe3 crystal.

POSCAR file:
```
Er2ScTe3
1.0
3.607 2.083 7.414
-3.607 2.083 7.414
0.000 -4.165 7.414
Er Sc Te
4 2 6
direct
0.168 0.168 0.168 Er
0.332 0.332 0.332 Er
0.668 0.668 0.668 Er
0.832 0.832 0.832 Er
0.000 0.000 0.000 Sc
0.500 0.500 0.500 Sc
0.091 0.750 0.409 Te
0.250 0.591 0.909 Te
0.409 0.091 0.750 Te
0.591 0.909 0.250 Te
0.750 0.409 0.091 Te
0.909 0.250 0.591 Te
```

Results
As for the crystal system: trigonal.

=====

Sorted by energy, starting with the most stable: version B, version A.

=====

Version A
Density functional theory data (PBE) for a relaxed Er4ScTe5 crystal.

POSCAR file:
```
Er4ScTe5
1.0
-2.107 2.107 15.763
2.107 -2.107 15.763
2.107 2.107 -15.763
Er Sc Te
4 1 5
direct
0.109 0.109 0.000 Er
0.314 0.314 0.000 Er
0.686 0.686 0.000 Er
0.891 0.891 0.000 Er
0.500 0.500 0.000 Sc
0.000 0.000 0.000 Te
0.208 0.208 0.000 Te
0.409 0.409 0.000 Te
0.591 0.591 0.000 Te
0.792 0.792 0.000 Te
```

Results
As for the crystal system: tetragonal.

=====

Version B
Density functional theory data (PBE) for a relaxed Er4ScTe5 crystal.

POSCAR file:
```
Er4ScTe5
1.0
-4.803 4.803 3.029
4.803 -4.803 3.029
4.803 4.803 -3.029
Er Sc Te
4 1 5
direct
0.090 0.316 0.406 Er
0.316 0.910 0.226 Er
0.684 0.090 0.774 Er
0.910 0.684 0.594 Er
0.504 0.504 0.000 Sc
0.003 0.003 0.000 Te
0.214 0.607 0.821 Te
0.393 0.214 0.607 Te
0.607 0.786 0.393 Te
0.786 0.393 0.179 Te
```

Results
As for the crystal system: tetragonal.

=====

Sorted by energy, starting with the most stable: version A, version B.

=====

Version A
Density functional theory data (PBE) for a relaxed Er2ScTe2 crystal.

POSCAR file:
```
Er2ScTe2
1.0
5.840 0.000 0.000
0.000 4.729 0.000
-2.840 0.000 10.074
Er Sc Te
4 2 4
direct
0.067 0.250 0.128 Er
0.276 0.250 0.556 Er
0.724 0.750 0.444 Er
0.933 0.750 0.872 Er
0.469 0.250 0.920 Sc
0.531 0.750 0.080 Sc
0.181 0.750 0.355 Te
0.375 0.750 0.758 Te
0.625 0.250 0.242 Te
0.819 0.250 0.645 Te
```

Results
As for the crystal system: monoclinic.

=====

Version B
Density functional theory data (PBE) for a relaxed Er2ScTe2 crystal.

POSCAR file:
```
Er2ScTe2
1.0
2.010 -9.058 0.000
2.010 9.058 0.000
0.000 0.000 7.519
Er Sc Te
4 2 4
direct
0.024 0.976 0.500 Er
0.189 0.811 0.844 Er
0.811 0.189 0.344 Er
0.976 0.024 0.000 Er
0.389 0.611 0.681 Sc
0.611 0.389 0.181 Sc
0.186 0.814 0.422 Te
0.438 0.562 0.289 Te
0.562 0.438 0.789 Te
0.814 0.186 0.922 Te
```

Results
As for the crystal system: orthorhombic.

=====

Sorted by energy, starting with the most stable: version B, version A.